# CrPN | the Alexandria database | GGA-PBE | relaxed
# formation energy (no corrections): 0.17 eV per atom
# DOS(E_F): 0.4399 states/eV per atom
# E_tot: -7.617 eV/atom
data_CrPN
_space_group_name_H-M_alt 'P 1'
_space_group_IT_number 1
_space_group_name_Hall 'P 1'
_cell_length_a 2.6302
_cell_length_b 2.6302
_cell_length_c 10.1214
_cell_angle_alpha 90.00
_cell_angle_beta 90.00
_cell_angle_gamma 90.00
loop_
_atom_site_label
_atom_site_type_symbol
_atom_site_fract_x
_atom_site_fract_y
_atom_site_fract_z
_atom_site_occupancy
Cr1 Cr 0.0000 0.5000 0.3512 1
Cr2 Cr 0.5000 0.0000 0.6488 1
N1 N 0.5000 0.0000 0.4200 1
N2 N 0.0000 0.5000 0.5800 1
P1 P 0.0000 0.5000 0.8246 1
P2 P 0.5000 0.0000 0.1754 1